VHAu2: optimized geometry, PBE.

Properties
For the volume, the calculation gives 60.3 Å³/cell. The raw total energy comes out at -4.13 eV/atom.

Cell lengths 4.4006, 4.4006, 4.4006 Å; angles 60.00, 60.00, 60.00 degrees
Closest atoms and distances in Å follow each position.
Fractional positions:
H 0.0000 0.0000 0.0000  8 Au 2.69
Au 0.2500 0.2500 0.2500  4 H 2.69, 4 V 2.69
Au 0.7500 0.7500 0.7500  4 H 2.69, 4 V 2.69
V 0.5000 0.5000 0.5000  8 Au 2.69